No. 1
5
Lattice="4.0589 0.0000 0.0000 0.0000 4.0589 0.0000 0.0000 0.0000 4.9944" Properties=species:S:1:pos:R:3 comment="PBE CaTiNF2, relaxed" de_polymorph_ev_per_atom=1.028 formation_energy_uncorrected_mev_per_atom=-1208 e_tot_ev_per_cell=-28.01 magmom_total_mub_per_cell=1.000 pbc="T T T"
F 0.0000 2.0294 0.0000
Ti 2.0294 2.0294 2.4972
N 0.0000 0.0000 2.4972
Ca 0.0000 0.0000 0.0000
F 2.0294 0.0000 0.0000

***

No. 2
16
Lattice="-1.2281 3.7782 0.7814 -1.7301 -3.8957 5.6280 12.6284 2.8885 5.8815" Properties=species:S:1:pos:R:3 comment="PBE KY2AgS4, relaxed" formation_energy_uncorrected_mev_per_atom=-1590 e_tot_ev_per_cell=-92.21 magmom_total_mub_per_cell=0.000 pbc="T T T"
Y 4.2573 2.6156 4.5342
S 3.7912 0.0908 5.5198
Y -0.4073 1.5487 2.3617
S 2.2837 2.3892 2.5269
S 7.3865 0.3817 9.7639
Y 10.0776 1.2223 9.9291
S 5.8790 2.6802 6.7711
K 8.9250 1.6988 5.8138
S 6.3142 1.4443 2.9408
Y 5.4129 0.1553 7.7567
S 9.6225 3.5364 8.5145
Ag 2.3905 0.0659 3.4386
S 0.0477 -0.7655 3.7763
S 0.0000 0.0000 0.0000
Ag 7.2797 2.7051 8.8523
K 0.7453 1.0722 6.4770

***

No. 3
8
Lattice="-1.9972 -4.7480 0.0461 2.4553 -0.9900 4.4188 -3.2215 -1.3957 4.4797" Properties=species:S:1:pos:R:3 comment="PBE TiSeN2, relaxed" de_polymorph_ev_per_atom=0.474 formation_energy_uncorrected_mev_per_atom=154 e_tot_ev_per_cell=-54.83 magmom_total_mub_per_cell=0.000 pbc="T T T"
Se -2.4949 -4.5063 3.3791
Se 0.0000 0.0000 0.0000
Ti -0.2686 -2.6273 5.5655
N -2.0763 -3.2662 5.3365
Ti 0.2290 -2.8690 2.2324
N -2.1833 -5.9997 6.9642
N -1.6101 -3.1153 1.6979
N 0.3429 -1.8860 3.8906

***

No. 4
8
Lattice="4.5896 0.0000 0.0000 0.0000 7.9448 0.1377 0.0000 -2.7774 7.4274" Properties=species:S:1:pos:R:3 comment="PBE Ac2DyErSb4, relaxed" formation_energy_uncorrected_mev_per_atom=-1142 e_tot_ev_per_cell=-43.01 magmom_total_mub_per_cell=0.000 pbc="T T T"
Sb 2.2948 1.2876 1.7051
Er 0.0000 0.0000 0.0000
Dy 2.2948 3.9724 0.0688
Sb 0.0000 -0.1077 5.7857
Ac 2.2948 -1.3887 3.7137
Sb 0.0000 5.2751 1.7794
Sb 2.2948 3.8798 5.8600
Ac 0.0000 2.5837 3.7825

***

No. 5
4
Lattice="-2.7841 0.6230 1.5618 -0.8013 -3.1475 -0.1727 4.6416 -1.6724 8.9412" Properties=species:S:1:pos:R:3 comment="PBE AsBr2Cl, relaxed" de_polymorph_ev_per_atom=0.776 formation_energy_uncorrected_mev_per_atom=248 e_tot_ev_per_cell=-8.85 magmom_total_mub_per_cell=0.000 pbc="T T T"
Br -0.6714 -1.6662 2.8543
As 1.6849 -2.5152 7.3934
Br 4.2715 -1.5390 8.2282
Cl 2.7338 -0.9850 5.2662

***

No. 6
20
Lattice="-2.8296 -2.3473 1.2904 6.4292 -4.5081 5.8974 -2.0599 6.4120 7.1470" Properties=species:S:1:pos:R:3 comment="PBE Li5In2HgAu2, relaxed" e_tot_ev_per_cell=-51.19 formation_enthalpy_0k_ev_per_atom=-0.369 magmom_total_mub_per_cell=0.000 pbc="T T T"
Au 2.2572 2.7397 9.9335
Li -2.5729 3.6337 6.8507
Li -2.4447 2.0323 4.2187
Li -0.6482 1.1579 6.5673
Au 2.1121 -0.8358 3.1110
Au 4.8318 -1.5493 7.7768
In 0.4294 3.8419 7.9302
Au -0.4625 3.4533 5.2677
Hg 0.0000 0.0000 0.0000
In 3.9400 -1.9380 5.1143
Li 1.8559 1.1154 11.9811
Li 1.7998 -3.4277 3.5939
Li 0.6745 -1.1271 5.3112
In 3.9900 0.5108 9.6784
Li 2.1880 -1.6013 7.7675
Li 4.1127 -4.0771 7.4842
Hg 2.1847 0.9520 6.5222
Li -0.3161 -1.5588 2.3537
Li 0.8653 0.6838 9.0237
In 0.3794 1.3931 3.3661

***

Question: Which formula does entry 3 have?
Answer: TiSeN2